SmGd2Al: relaxed, PBE.

Properties
The value obtained for the total energy is -9.336 eV per atom. Its symmetry is P4/mmm (123). Its crystal system is tetragonal. The formation energy is -0.180 eV per atom. Its relative energy among the computed polymorphs is 0.014 eV/atom.

a = 3.5378 Å, b = 3.5378 Å, c = 9.1742 Å
α = 90.00°, β = 90.00°, γ = 90.00°
With the nearest neighbours (Å) after each atom.
Element x y z (fractional)
Sm 0.0000 0.0000 0.0000  4 Sm 3.54, 8 Gd 3.63
Gd 0.5000 0.5000 0.2874  4 Al 3.17, 4 Gd 3.54
Gd 0.5000 0.5000 0.7126  4 Al 3.17, 4 Gd 3.54
Al 0.0000 0.0000 0.5000  8 Gd 3.17, 4 Al 3.54



SmGd2Al: relaxed, PBE.

Properties
The value obtained for the total energy is -9.350 eV per atom. Its symmetry is P4/mmm (123). Its crystal system is tetragonal. The formation energy is -0.194 eV per atom. Its relative energy among the computed polymorphs is 0.000 eV/atom.

a = 4.7999 Å, b = 4.7999 Å, c = 4.8396 Å
α = 90.00°, β = 90.00°, γ = 90.00°
With the nearest neighbours (Å) after each atom.
Element x y z (fractional)
Sm 0.0000 0.0000 0.0000  4 Al 3.39, 8 Gd 3.41
Gd 0.0000 0.5000 0.5000  4 Gd 3.39, 4 Al 3.41, 4 Sm 3.41
Gd 0.5000 0.0000 0.5000  4 Gd 3.39, 4 Al 3.41, 4 Sm 3.41
Al 0.5000 0.5000 0.0000  4 Sm 3.39, 8 Gd 3.41



SmGd2Al: relaxed, PBE.

Properties
The value obtained for the total energy is -8.875 eV per atom. Its symmetry is R-3m (166). Its crystal system is trigonal. The formation energy is 0.281 eV per atom. Its relative energy among the computed polymorphs is 0.475 eV/atom.

a = 12.1200 Å, b = 12.1200 Å, c = 12.1200 Å
α = 16.47°, β = 16.47°, γ = 16.47°
With the nearest neighbours (Å) after each atom.
Element x y z (fractional)
Sm 0.0000 0.0000 0.0000  6 Sm 3.47, 6 Gd 3.53
Gd 0.4145 0.4145 0.4145  1 Al 3.07
Gd 0.5855 0.5855 0.5855  1 Al 3.07
Al 0.5000 0.5000 0.5000  2 Gd 3.07



SmGdAl2: relaxed, PBE.

Properties
The value obtained for the total energy is -6.952 eV per atom. Its symmetry is Fm-3m (225). Its crystal system is cubic. The formation energy is -0.380 eV per atom. Its relative energy among the computed polymorphs is 0.007 eV/atom.

a = 5.1725 Å, b = 5.1725 Å, c = 5.1725 Å
α = 60.00°, β = 60.00°, γ = 60.00°
With the nearest neighbours (Å) after each atom.
Element x y z (fractional)
Sm 0.0000 0.0000 0.0000  8 Al 3.17
Gd 0.5000 0.5000 0.5000  8 Al 3.17
Al 0.2500 0.2500 0.2500  4 Gd 3.17, 4 Sm 3.17
Al 0.7500 0.7500 0.7500  4 Gd 3.17, 4 Sm 3.17



SmGdAl2: relaxed, PBE.

Properties
The value obtained for the total energy is -6.704 eV per atom. Its symmetry is R-3m (166). Its crystal system is trigonal. The formation energy is -0.132 eV per atom. Its relative energy among the computed polymorphs is 0.255 eV/atom.

a = 9.5426 Å, b = 9.5426 Å, c = 9.5426 Å
α = 22.01°, β = 22.01°, γ = 22.01°
With the nearest neighbours (Å) after each atom.
Element x y z (fractional)
Sm 0.0000 0.0000 0.0000  6 Al 3.15
Gd 0.5000 0.5000 0.5000  6 Al 3.12
Al 0.2493 0.2493 0.2493  3 Gd 3.12, 3 Sm 3.15
Al 0.7507 0.7507 0.7507  3 Gd 3.12, 3 Sm 3.15



TbSmGdAl: relaxed, PBE.

Properties
The value obtained for the total energy is -6.853 eV per atom. Its symmetry is F-43m (216). Its crystal system is cubic. The formation energy is -0.060 eV per atom.

a = 5.4013 Å, b = 5.4013 Å, c = 5.4013 Å
α = 60.00°, β = 60.00°, γ = 60.00°
With the nearest neighbours (Å) after each atom.
Element x y z (fractional)
Tb 0.0000 0.0000 0.0000  4 Gd 3.31, 4 Sm 3.31
Sm 0.7500 0.7500 0.7500  4 Tb 3.31, 4 Al 3.31
Gd 0.2500 0.2500 0.2500  4 Tb 3.31, 4 Al 3.31
Al 0.5000 0.5000 0.5000  4 Gd 3.31, 4 Sm 3.31



SmGdAlTc: relaxed, PBE.

Properties
The value obtained for the total energy is -8.299 eV per atom. Its symmetry is F-43m (216). Its crystal system is cubic. The formation energy is -0.072 eV per atom.

a = 5.0437 Å, b = 5.0437 Å, c = 5.0437 Å
α = 60.00°, β = 60.00°, γ = 60.00°
With the nearest neighbours (Å) after each atom.
Element x y z (fractional)
Sm 0.0000 0.0000 0.0000  4 Tc 3.09, 4 Al 3.09
Gd 0.5000 0.5000 0.5000  4 Al 3.09, 4 Tc 3.09
Al 0.7500 0.7500 0.7500  4 Gd 3.09, 4 Sm 3.09
Tc 0.2500 0.2500 0.2500  4 Gd 3.09, 4 Sm 3.09



SmGdThAl: relaxed, PBE.

Properties
The value obtained for the total energy is -7.520 eV per atom. Its symmetry is F-43m (216). Its crystal system is cubic. The formation energy is -0.029 eV per atom.

a = 5.4196 Å, b = 5.4196 Å, c = 5.4196 Å
α = 60.00°, β = 60.00°, γ = 60.00°
With the nearest neighbours (Å) after each atom.
Element x y z (fractional)
Sm 0.0000 0.0000 0.0000  4 Gd 3.32, 4 Al 3.32
Gd 0.2500 0.2500 0.2500  4 Th 3.32, 4 Sm 3.32
Th 0.5000 0.5000 0.5000  4 Al 3.32, 4 Gd 3.32
Al 0.7500 0.7500 0.7500  4 Sm 3.32, 4 Th 3.32



SmGdAlZn: relaxed, PBE.

Properties
The value obtained for the total energy is -6.309 eV per atom. Its symmetry is F-43m (216). Its crystal system is cubic. The formation energy is -0.355 eV per atom.

a = 5.1688 Å, b = 5.1688 Å, c = 5.1688 Å
α = 60.00°, β = 60.00°, γ = 60.00°
With the nearest neighbours (Å) after each atom.
Element x y z (fractional)
Sm 0.0000 0.0000 0.0000  4 Al 3.17, 4 Zn 3.17
Gd 0.5000 0.5000 0.5000  4 Al 3.17, 4 Zn 3.17
Al 0.7500 0.7500 0.7500  4 Gd 3.17, 4 Sm 3.17
Zn 0.2500 0.2500 0.2500  4 Gd 3.17, 4 Sm 3.17



Gd2AlSn: relaxed, PBE.

Properties
The value obtained for the total energy is -9.022 eV per atom. Its symmetry is R-3m (166). Its crystal system is trigonal. The formation energy is -0.045 eV per atom. Its relative energy among the computed polymorphs is 0.493 eV/atom.

a = 11.0490 Å, b = 11.0490 Å, c = 11.0490 Å
α = 18.33°, β = 18.33°, γ = 18.33°
With the nearest neighbours (Å) after each atom.
Element x y z (fractional)
Gd 0.0969 0.0969 0.0969  3 Al 3.05, 1 Sn 3.16
Gd 0.9031 0.9031 0.9031  3 Al 3.05, 1 Sn 3.16
Al 0.5000 0.5000 0.5000  6 Gd 3.05
Sn 0.0000 0.0000 0.0000  2 Gd 3.16, 6 Sn 3.52